Compound: Pr4GaSe2S
Source: Alexandria via LeMat-Bulk
Functional: PBE
Structure: optimized geometry

Lattice parameters (Å, degrees): 4.222 7.438 7.360 70.92 90.00 90.00
Element x y z (fractional)
1 S 0.000 0.500 0.500
2 Se 0.000 0.000 0.000
3 Se 0.500 0.000 0.500
4 Pr 0.500 0.262 0.745
5 Pr 0.000 0.745 0.749
6 Pr 0.000 0.255 0.251
7 Pr 0.500 0.738 0.255
8 Ga 0.500 0.500 0.000

Summary:
Energy relative to the elements, uncorrected in eV/atom: -1.58
E_tot in eV for the cell shown: -45.9
N(E_F) in states/eV/f.u.: 3.2
Space-group type: P2/m, No. 10